(1)
Sc2ZnMoH, relaxed, DFT PBE-GGA; DOS at the Fermi energy = 4.7 states/eV/f.u.; space group = P4/mmm (123); electronic total energy = -5.81 eV per atom
1.0
4.540 0.000 0.000
0.000 4.540 0.000
0.000 0.000 3.683
Sc Mo Zn H
2 1 1 1
Cartesian
2.270 0.000 0.000
0.000 2.270 0.000
0.000 0.000 1.841
2.270 2.270 1.841
0.000 0.000 0.000

(2)
CdInBi2, relaxed, DFT PBE-GGA; ΔE_f = 0.08 eV per atom; DOS at the Fermi energy = 1.9 states/eV/f.u.; space group = R-3m (166); electronic total energy = -2.78 eV per atom
1.0
3.442 0.000 0.000
1.721 2.981 0.000
1.721 0.994 11.900
Bi Cd In
2 1 1
Cartesian
5.162 2.981 3.022
1.721 0.994 8.878
0.000 0.000 0.000
3.442 1.987 5.950

(3)
SmTm3Fe8, relaxed, DFT PBE-GGA; ΔE_f = -0.10 eV per atom; DOS at the Fermi energy = 16.4 states/eV/f.u.; space group = R3m (160); electronic total energy = -7.25 eV per atom
1.0
-2.449 3.040 -3.309
-3.646 -1.927 -3.030
-7.770 2.081 3.705
Fe Tm Sm
8 3 1
Cartesian
-11.466 2.714 -0.893
-4.555 1.123 0.445
-5.326 2.396 -3.758
-9.851 0.953 -1.717
-9.249 3.451 -1.857
-4.098 0.870 -2.097
-11.083 2.482 -3.381
-5.927 -0.097 -3.618
-9.084 2.239 0.864
-6.941 1.600 -1.309
-7.762 2.079 3.696
-8.246 1.754 -4.159

(4)
Rb2CrCl3, relaxed, DFT PBE-GGA; ΔE_f (raw) = -7.8 eV per formula unit; DOS at the Fermi energy = 1.7 states/eV/f.u.; space group = Immm (71); electronic total energy = -4.15 eV per atom
1.0
4.523 0.000 0.000
0.000 5.249 0.000
-2.262 -2.624 8.270
Rb Cr Cl
2 1 3
Cartesian
0.000 0.000 5.858
2.262 2.624 2.411
0.000 0.000 0.000
0.000 0.000 2.501
0.000 2.624 0.000
2.262 2.624 5.769

(5)
NaH3Pd, relaxed, DFT PBE-GGA; DOS at the Fermi energy = 0.0 states/eV/f.u.; space group = P4mm (99); electronic total energy = -3.20 eV per atom
1.0
3.127 0.000 0.000
0.000 3.127 0.000
0.000 0.000 5.168
Pd H Na
1 3 1
Cartesian
1.564 1.564 3.027
0.000 1.564 2.207
0.000 0.000 3.650
1.564 0.000 2.207
0.000 0.000 0.608

(6)
K2Be2AsO6, relaxed, DFT PBE-GGA; ΔE_f (raw) = -19.1 eV per formula unit; DOS at the Fermi energy = 5.9 states/eV/f.u.; space group = R-3m (166); electronic total energy = -5.74 eV per atom
1.0
5.241 0.000 0.000
2.620 4.539 0.000
2.620 1.513 5.814
O K As Be
6 2 1 2
Cartesian
5.241 4.564 4.710
5.241 1.488 1.104
6.573 2.257 4.710
6.573 3.795 1.104
3.909 3.795 1.104
3.909 2.257 4.710
2.620 1.513 2.219
7.861 4.539 3.595
0.000 0.000 0.000
5.241 3.026 4.843
5.241 3.026 0.972